MoSeN2O: optimized geometry, PBE+U.

The structure in extended XYZ format:
```
5
Lattice="3.934 0.000 0.000 0.000 3.934 0.000 0.000 0.000 3.914" Properties=species:S:1:pos:R:3 pbc="T T T"
Mo 0.000 0.000 0.000
Se 1.967 1.967 0.000
N 0.000 1.967 1.957
N 1.967 0.000 1.957
O 1.967 1.967 1.957
```

VASP energy ... -23.20 eV for the cell shown
Space-group type ... No. 123